Below is an optimized crystal structure of NaSrI3, with properties calculated at the PBE level.

a = 5.864 Å, b = 5.864 Å, c = 5.864 Å
α = 90.00°, β = 90.00°, γ = 90.00°
Space group Pm-3m (No. 221)
One atom of each set of equivalent atoms:
Na: 0.000 0.000 0.000
Sr: 0.500 0.500 0.500
I: 0.000 0.000 0.500

Below is an optimized crystal structure of NaSrI, with properties calculated at the PBE level.

Output
Distance to the lowest polymorph of the same formula: 0 meV per atom

a = 4.4352 Å, b = 4.4352 Å, c = 7.6467 Å
α = 90.00°, β = 90.00°, γ = 120.00°
Space group P3m1 (No. 156)
One atom of each set of equivalent atoms:
Na: 0.0000 0.0000 0.0000
Sr: 0.6667 0.3333 0.3932
I: 0.3333 0.6667 0.6950

Below is an optimized crystal structure of Na2Sr3I8, with properties calculated at the PBE level.

a = 15.545 Å, b = 9.486 Å, c = 8.390 Å
α = 90.00°, β = 97.64°, γ = 90.00°
Space group C2/m (No. 12)
One atom of each set of equivalent atoms:
Na: 0.215 0.000 0.067
Sr: 0.000 0.247 0.500
Sr: 0.000 0.500 0.000
I: 0.116 0.500 0.356
I: 0.119 0.000 0.372
I: 0.127 0.265 0.855

Below is an optimized crystal structure of NaSrTbI6, with properties calculated at the PBE level.

a = 8.0585 Å, b = 8.0585 Å, c = 14.4086 Å
α = 90.00°, β = 90.00°, γ = 120.00°
Space group P-31c (No. 163)
One atom of each set of equivalent atoms:
Na: 0.0000 0.0000 0.0000
Sr: 0.3333 0.6667 0.2500
Tb: 0.3333 0.6667 0.7500
I: 0.0230 0.3586 0.6266

Below is an optimized crystal structure of NaSrTeI, with properties calculated at the PBE level.

Output
Distance to the lowest polymorph of the same formula: 0 meV per atom

a = 4.7719 Å, b = 4.7719 Å, c = 23.0937 Å
α = 90.00°, β = 90.00°, γ = 120.00°
Space group R3m (No. 160, hexagonal axes)
One atom of each set of equivalent atoms:
Na: 0.0000 0.0000 0.0000
Sr: 0.0000 0.0000 0.4765
Te: 0.0000 0.0000 0.7349
I: 0.0000 0.0000 0.2340

Below is an optimized crystal structure of NaSrTeI2, with properties calculated at the PBE level.

Output
Distance to the lowest polymorph of the same formula: 110 meV per atom

a = 5.752 Å, b = 5.752 Å, c = 5.931 Å
α = 90.00°, β = 90.00°, γ = 90.00°
Space group P4/mmm (No. 123)
One atom of each set of equivalent atoms:
Na: 0.000 0.000 0.000
Sr: 0.500 0.500 0.500
Te: 0.000 0.000 0.500
I: 0.000 0.500 0.000

Below is an optimized crystal structure of NaSrTeI2, with properties calculated at the PBE level.

Output
Distance to the lowest polymorph of the same formula: 0 meV per atom

a = 6.415 Å, b = 6.415 Å, c = 6.431 Å
α = 90.00°, β = 90.00°, γ = 90.00°
Space group P4/mmm (No. 123)
One atom of each set of equivalent atoms:
Na: 0.000 0.000 0.000
Sr: 0.500 0.500 0.500
Te: 0.500 0.500 0.000
I: 0.000 0.500 0.500

Below is an optimized crystal structure of NaSrTeI, with properties calculated at the PBE level.

Output
Distance to the lowest polymorph of the same formula: 155 meV per atom

a = 8.123 Å, b = 8.123 Å, c = 8.123 Å
α = 90.00°, β = 90.00°, γ = 90.00°
Space group F-43m (No. 216)
One atom of each set of equivalent atoms:
Na: 0.000 0.000 0.000
Sr: 0.000 0.000 0.500
Te: 0.250 0.250 0.750
I: 0.250 0.250 0.250

Formation energy (no corrections) (computed, eV/atom): -1.1361, -0.7562, -1.5507, -1.4558, -1.4355, -0.7810, -0.8912, -1.2809
Fermi-level density of states (computed, states/eV/atom): 0.000, 0.335, 0.000, 0.000, 0.000, 0.780, 1.045, 0.000
DFT total energy (computed, eV/f.u.): -13.3, -6.8, -40.2, -30.0, -13.4, -13.1, -13.7, -12.8